## NaAcHo (GGA-PBE)

Data for a relaxed NaAcHo crystal.

Properties
excess energy over the best structure of this formula in the dataset	0.00	eV/f.u.
calculated volume	687.67	Å³/cell
D(E_F)	22.28	states/eV/cell
magnetization	0.0	μB per cell
ρ	6.01	Mg/m³
ΔE_f	0.069	eV per atom
total DFT energy (no corrections)	-3.27	eV per atom

a b c (Å): 3.7880 3.7880 55.3384
angles (deg): 90.00 90.00 120.00
Last column: nearest neighbours and their distance in Å.
Space group R-3m (No. 166, hexagonal axes)
Unique sites:
Na: 0.0000 0.0000 0.1949  9 Na 3.79-3.81, 3 Ac 3.97
Ac: 0.0000 0.0000 0.4120  3 Ho 3.69, 6 Ac 3.79, 3 Na 3.97
Ho: 0.0000 0.0000 0.3085  9 Ho 3.52-3.79, 3 Ac 3.69

---

## NaAcHo (GGA-PBE)

Data for a relaxed NaAcHo crystal.

Properties
excess energy over the best structure of this formula in the dataset	0.28	eV/f.u.
calculated volume	114.32	Å³/cell
D(E_F)	4.57	states/eV/cell
magnetization	0.0	μB per cell
ρ	6.03	Mg/m³
ΔE_f	0.163	eV per atom
total DFT energy (no corrections)	-3.17	eV per atom

a b c (Å): 3.7482 3.7482 9.3960
angles (deg): 90.00 90.00 120.00
Last column: nearest neighbours and their distance in Å.
Space group P3m1 (No. 156)
Unique sites:
Na: 0.0000 0.0000 0.0000  6 Na 3.75, 3 Ho 3.78, 3 Ac 4.00
Ac: 0.6667 0.3333 0.3586  3 Ho 3.64, 6 Ac 3.75, 3 Na 4.00
Ho: 0.3333 0.6667 0.6697  3 Ac 3.64, 6 Ho 3.75, 3 Na 3.78

---

## NaAcHo (GGA-PBE)

Data for a relaxed NaAcHo crystal.

Properties
excess energy over the best structure of this formula in the dataset	0.33	eV/f.u.
calculated volume	228.51	Å³/cell
D(E_F)	8.26	states/eV/cell
magnetization	0.0	μB per cell
ρ	6.03	Mg/m³
ΔE_f	0.180	eV per atom
total DFT energy (no corrections)	-3.15	eV per atom

a b c (Å): 3.7304 3.7304 16.4203
angles (deg): 90.00 90.00 90.00
Last column: nearest neighbours and their distance in Å.
Space group I4mm (No. 107)
Unique sites:
Na: 0.0000 0.0000 0.0000  4 Na 3.73, 4 Ho 3.75, 4 Ac 3.99
Ac: 0.0000 0.0000 0.3178  4 Ho 3.67, 4 Ac 3.73, 4 Na 3.99
Ho: 0.0000 0.0000 0.6625  4 Ac 3.67, 4 Ho 3.73, 4 Na 3.75

---

## NaAcHoPb (GGA-PBE)

Data for a relaxed NaAcHoPb crystal.

Properties
calculated volume	513.93	Å³/cell
D(E_F)	13.68	states/eV/cell
magnetization	0.0	μB per cell
ρ	8.04	Mg/m³
ΔE_f	-0.127	eV per atom
total DFT energy (no corrections)	-3.56	eV per atom

a b c (Å): 8.0101 8.0101 8.0101
angles (deg): 90.00 90.00 90.00
Last column: nearest neighbours and their distance in Å.
Space group F-43m (No. 216)
Unique sites:
Na: 0.0000 0.0000 0.0000  4 Ac 3.47, 4 Ho 3.47
Ac: 0.2500 0.2500 0.7500  4 Pb 3.47, 4 Na 3.47
Ho: 0.2500 0.2500 0.2500  4 Pb 3.47, 4 Na 3.47
Pb: 0.0000 0.0000 0.5000  4 Ho 3.47, 4 Ac 3.47

---

## NaAcPrHo (GGA-PBE)

Data for a relaxed NaAcPrHo crystal.

Properties
calculated volume	583.95	Å³/cell
D(E_F)	21.66	states/eV/cell
magnetization	0.0	μB per cell
ρ	6.32	Mg/m³
ΔE_f	0.237	eV per atom
total DFT energy (no corrections)	-3.46	eV per atom

a b c (Å): 8.3584 8.3584 8.3584
angles (deg): 90.00 90.00 90.00
Last column: nearest neighbours and their distance in Å.
Space group F-43m (No. 216)
Unique sites:
Na: 0.0000 0.0000 0.0000  4 Ac 3.62, 4 Pr 3.62
Ac: 0.2500 0.2500 0.7500  4 Na 3.62, 4 Ho 3.62
Pr: 0.2500 0.2500 0.2500  4 Na 3.62, 4 Ho 3.62
Ho: 0.0000 0.0000 0.5000  4 Pr 3.62, 4 Ac 3.62

---

## NaAcHo4S8 (GGA-PBE)

Data for a relaxed NaAcHo4S8 crystal.

Properties
formation energy (no corrections)	-1.944	eV per atom
calculated volume	1173.03	Å³/cell
D(E_F)	0.00	states/eV/cell
magnetization	0.0	μB per cell
ρ	4.95	Mg/m³
total DFT energy (no corrections)	-6.00	eV per atom

a b c (Å): 8.0926 8.0926 20.6826
angles (deg): 90.00 90.00 120.00
Last column: nearest neighbours and their distance in Å.
Space group R3m (No. 160, hexagonal axes)
Unique sites:
Na: 0.0000 0.0000 0.0000  4 S 2.73-2.79
Ac: 0.0000 0.0000 0.3698  6 S 2.90-3.00
Ho: 0.0000 0.0000 0.7460  4 S 2.62-2.71
Ho: 0.0125 0.5063 0.8738  6 S 2.66-2.87
S: 0.0000 0.0000 0.1348  3 Ho 2.70, 1 Na 2.79
S: 0.0000 0.0000 0.6148  4 Ho 2.71-2.87
S: 0.0082 0.5041 0.1305  3 Ho 2.62-2.84
S: 0.1767 0.3535 0.9448  2 Ho 2.66, 1 Na 2.73, 1 Ac 2.90

---

## Na3AcHo2S6 (GGA-PBE)

Data for a relaxed Na3AcHo2S6 crystal.

Properties
formation energy (no corrections)	-1.823	eV per atom
calculated volume	586.83	Å³/cell
D(E_F)	0.00	states/eV/cell
magnetization	0.0	μB per cell
ρ	4.63	Mg/m³
total DFT energy (no corrections)	-5.32	eV per atom

a b c (Å): 7.1096 12.3217 7.1093
angles (deg): 90.00 109.57 90.00
Last column: nearest neighbours and their distance in Å.
Space group C2/m (No. 12)
Unique sites:
Na: 0.0000 0.0000 0.0000  6 S 2.86-3.05
Na: 0.0000 0.3325 0.0000  6 S 2.86-3.05
Ac: 0.0000 0.5000 0.5000  6 S 2.95-2.96
Ho: 0.0000 0.1669 0.5000  6 S 2.76-2.78
S: 0.2232 0.0000 0.7314  2 Ho 2.78, 3 Na 2.86-3.04, 1 Ac 2.96
S: 0.2465 0.1770 0.2715  2 Ho 2.76, 3 Na 2.86-3.05, 1 Ac 2.95

---

## Na3AcHo2Se6 (GGA-PBE)

Data for a relaxed Na3AcHo2Se6 crystal.

Properties
formation energy (no corrections)	-1.700	eV per atom
calculated volume	662.92	Å³/cell
D(E_F)	0.00	states/eV/cell
magnetization	0.0	μB per cell
ρ	5.51	Mg/m³
total DFT energy (no corrections)	-4.88	eV per atom

a b c (Å): 7.3803 12.7925 7.4459
angles (deg): 90.00 109.44 90.00
Last column: nearest neighbours and their distance in Å.
Space group C2/m (No. 12)
Unique sites:
Na: 0.0000 0.0000 0.0000  6 Se 2.98-3.16
Na: 0.0000 0.3349 0.0000  6 Se 2.99-3.17
Ac: 0.0000 0.5000 0.5000  6 Se 3.08
Ho: 0.0000 0.1672 0.5000  6 Se 2.89-2.91
Se: 0.2249 0.0000 0.7341  2 Ho 2.91, 3 Na 2.98-3.14, 1 Ac 3.08
Se: 0.2454 0.1767 0.2679  2 Ho 2.89, 3 Na 2.99-3.17, 1 Ac 3.08